4
Lattice="-3.690 -3.359 0.357 2.235 -0.410 -4.456 3.354 -0.834 3.617" Properties=species:S:1:pos:R:3 comment="SbAs2Br | the Alexandria database | PBEsol | optimized geometry" dos_ef_per_ev_cell=1.7 dft_energy_ha_per_atom=-0.144 sg="I4/mmm, No. 139" raw_formation_energy_ev_per_atom=0.24 relative_energy_ev_per_atom=0.1881 pbc="T T T"
Sb -0.727 -1.884 -2.050
As 2.794 -0.622 -0.420
As -0.168 -2.096 1.987
Br 0.000 0.000 0.000

---

5
Lattice="-2.138 -0.106 2.717 2.171 -2.148 1.624 3.169 6.398 0.542" Properties=species:S:1:pos:R:3 comment="Al4Ru | the Alexandria database | PBEsol | optimized geometry" dos_ef_per_ev_cell=2.9 formation_energy_ev_per_atom=0.280 dft_energy_ha_per_atom=-0.185 sg="I4/mmm, No. 139" pbc="T T T"
Ru 0.000 0.000 0.000
Al 0.524 2.582 2.715
Al 2.678 1.562 2.168
Al 0.607 -0.149 2.674
Al 2.594 4.293 2.209